This record from OQMD via LeMat-Bulk describes a geometry-optimized TbDyI2O2 structure. The functional is PBE.

CIF file:
```
data_TbDyI2O2
_cell_length_a 3.931
_cell_length_b 3.931
_cell_length_c 9.093
_cell_angle_alpha 90.00
_cell_angle_beta 90.00
_cell_angle_gamma 90.00
_symmetry_space_group_name_H-M 'P 1'
_symmetry_Int_Tables_number 1
loop_
_symmetry_equiv_pos_as_xyz
'x,y,z'
loop_
_atom_site_label
_atom_site_fract_x
_atom_site_fract_y
_atom_site_fract_z
Tb1 0.000 0.000 0.000
Dy1 0.500 0.500 0.243
I1 0.000 0.000 0.450
I2 0.500 0.500 0.793
O1 0.000 0.500 0.123
O2 0.500 0.000 0.123
```



This record from OQMD via LeMat-Bulk describes a geometry-optimized DyTmI2O2 structure. The functional is PBE.

CIF file:
```
data_DyTmI2O2
_cell_length_a 3.899
_cell_length_b 3.899
_cell_length_c 9.281
_cell_angle_alpha 90.00
_cell_angle_beta 90.00
_cell_angle_gamma 90.00
_symmetry_space_group_name_H-M 'P 1'
_symmetry_Int_Tables_number 1
loop_
_symmetry_equiv_pos_as_xyz
'x,y,z'
loop_
_atom_site_label
_atom_site_fract_x
_atom_site_fract_y
_atom_site_fract_z
Dy1 0.000 0.000 0.000
Tm1 0.500 0.500 0.233
I1 0.000 0.000 0.438
I2 0.500 0.500 0.795
O1 0.000 0.500 0.120
O2 0.500 0.000 0.120
```



| no. | E_tot (eV for the cell shown) |
| --- | --- |
| 1 | -38.56 |
| 2 | -38.45 |